[1]
A plane-wave DFT calculation with PBE-GGA was carried out for ScSiRh3 after structural relaxation.

a = 4.3996 Å, b = 4.3996 Å, c = 4.3996 Å
α = 90.00°, β = 90.00°, γ = 90.00°
With the nearest neighbours (Å) after each atom.
Fractional coordinates of all 5 atoms:
Sc 0.0000 0.0000 0.0000  12 Rh 3.11
Si 0.5000 0.5000 0.5000  6 Rh 2.20
Rh 0.0000 0.5000 0.5000  2 Si 2.20
Rh 0.5000 0.0000 0.5000  2 Si 2.20
Rh 0.5000 0.5000 0.0000  2 Si 2.20

- Magnetic moment: 0.00 μB/f.u.
- Crystal system: cubic
- Calculated volume: 85 Å³/f.u.
- Energy relative to the elements, uncorrected: -0.50 eV per atom
- Energy relative to the lowest polymorph listed for this composition: 181 meV per atom

=====

[2]
A plane-wave DFT calculation with PBE-GGA was carried out for Pm6PrDy12 after structural relaxation.

a = 8.7504 Å, b = 8.7504 Å, c = 8.7504 Å
α = 98.68°, β = 98.68°, γ = 98.68°
With the nearest neighbours (Å) after each atom.
Fractional coordinates of all 19 atoms:
Pm 0.1546 0.5988 0.5988  1 Pm 3.09, 1 Pr 3.46
Pm 0.4012 0.4012 0.8454  1 Pm 3.09, 1 Pr 3.46
Pm 0.4012 0.8454 0.4012  1 Pm 3.09, 1 Pr 3.46
Pm 0.5988 0.1546 0.5988  1 Pm 3.09, 1 Pr 3.46
Pm 0.5988 0.5988 0.1546  1 Pm 3.09, 1 Pr 3.46
Pm 0.8454 0.4012 0.4012  1 Pm 3.09, 1 Pr 3.46
Pr 0.5000 0.5000 0.5000  6 Pm 3.46
Dy 0.0000 0.2574 0.7426  6 Dy 3.35-3.54, 4 Pm 3.48-3.57
Dy 0.0000 0.7426 0.2574  6 Dy 3.35-3.54, 4 Pm 3.48-3.57
Dy 0.1439 0.1439 0.4181  6 Dy 3.35-3.64, 2 Pm 3.70
Dy 0.1439 0.4181 0.1439  6 Dy 3.35-3.64, 2 Pm 3.70
Dy 0.2574 0.0000 0.7426  6 Dy 3.35-3.54, 4 Pm 3.48-3.57
Dy 0.2574 0.7426 0.0000  6 Dy 3.35-3.54, 4 Pm 3.48-3.57
Dy 0.4181 0.1439 0.1439  6 Dy 3.35-3.64, 2 Pm 3.70
Dy 0.5819 0.8561 0.8561  6 Dy 3.35-3.64, 2 Pm 3.70
Dy 0.7426 0.0000 0.2574  6 Dy 3.35-3.54, 4 Pm 3.48-3.57
Dy 0.7426 0.2574 0.0000  6 Dy 3.35-3.54, 4 Pm 3.48-3.57
Dy 0.8561 0.5819 0.8561  6 Dy 3.35-3.64, 2 Pm 3.70
Dy 0.8561 0.8561 0.5819  6 Dy 3.35-3.64, 2 Pm 3.70

- Magnetic moment: 0.00 μB/f.u.
- Crystal system: trigonal
- Calculated volume: 644 Å³/f.u.
- Energy relative to the lowest polymorph listed for this composition: 29 meV per atom

=====

[3]
A plane-wave DFT calculation with PBE-GGA was carried out for Fe3AuC after structural relaxation.

a = 3.9032 Å, b = 3.9032 Å, c = 3.9032 Å
α = 90.00°, β = 90.00°, γ = 90.00°
With the nearest neighbours (Å) after each atom.
Fractional coordinates of all 5 atoms:
Fe 0.0000 0.0000 0.5000  2 C 1.95
Fe 0.0000 0.5000 0.0000  2 C 1.95
Fe 0.5000 0.0000 0.0000  2 C 1.95
Au 0.5000 0.5000 0.5000  12 Fe 2.76
C 0.0000 0.0000 0.0000  6 Fe 1.95

- Magnetic moment: 7.25 μB/f.u.
- Crystal system: cubic
- Calculated volume: 59 Å³/f.u.
- Energy relative to the lowest polymorph listed for this composition: 0 meV per atom

=====

[4]
A plane-wave DFT calculation with PBE-GGA was carried out for TeRhAu after structural relaxation.

a = 3.2847 Å, b = 3.2847 Å, c = 5.8552 Å
α = 90.00°, β = 90.00°, γ = 90.00°
With the nearest neighbours (Å) after each atom.
Fractional coordinates of all 3 atoms:
Te 0.0000 0.0000 0.0000  4 Rh 2.66, 1 Au 2.75
Rh 0.5000 0.5000 0.7777  4 Te 2.66, 4 Au 2.94
Au 0.0000 0.0000 0.4695  1 Te 2.75, 4 Rh 2.94

- Magnetic moment: 0.00 μB/f.u.
- Crystal system: tetragonal
- Calculated volume: 63 Å³/f.u.
- Energy relative to the elements, uncorrected: -0.02 eV per atom
- Energy relative to the lowest polymorph listed for this composition: 53 meV per atom

=====

[5]
A plane-wave DFT calculation with PBE-GGA was carried out for CdP2Os after structural relaxation.

a = 5.2393 Å, b = 5.2393 Å, c = 5.2393 Å
α = 146.02°, β = 127.03°, γ = 64.44°
With the nearest neighbours (Å) after each atom.
Fractional coordinates of all 4 atoms:
Cd 0.0000 0.0000 0.0000  8 P 2.80-3.04, 4 Os 2.97-3.01, 2 Cd 3.06
P 0.4875 0.4875 0.0000  2 Os 2.35, 2 P 2.57
P 0.7199 0.2199 0.5000  2 P 2.57, 4 Os 2.86
Os 0.2866 0.7866 0.5000  2 P 2.35

- Magnetic moment: 0.00 μB/f.u.
- Crystal system: orthorhombic
- Calculated volume: 63 Å³/f.u.
- Energy relative to the lowest polymorph listed for this composition: 517 meV per atom

=====

[6]
A plane-wave DFT calculation with PBE-GGA was carried out for Mg2Zn2Ag after structural relaxation.

a = 8.1141 Å, b = 8.1141 Å, c = 8.1141 Å
α = 154.74°, β = 154.74°, γ = 36.03°
With the nearest neighbours (Å) after each atom.
Fractional coordinates of all 5 atoms:
Mg 0.0990 0.0990 0.0000  4 Zn 2.93, 4 Ag 2.94, 1 Mg 3.06
Mg 0.9010 0.9010 0.0000  4 Zn 2.93, 4 Ag 2.94, 1 Mg 3.06
Zn 0.2500 0.7500 0.5000  4 Zn 2.51
Zn 0.7500 0.2500 0.5000  4 Zn 2.51
Ag 0.5000 0.5000 0.0000  8 Mg 2.94

- Magnetic moment: 0.00 μB/f.u.
- Crystal system: tetragonal
- Calculated volume: 97 Å³/f.u.
- Energy relative to the lowest polymorph listed for this composition: 114 meV per atom

=====

[7]
A plane-wave DFT calculation with PBE-GGA was carried out for ZrOsBr2 after structural relaxation.

a = 3.2627 Å, b = 3.2627 Å, c = 9.2985 Å
α = 90.00°, β = 90.00°, γ = 122.31°
With the nearest neighbours (Å) after each atom.
Fractional coordinates of all 4 atoms:
Zr 0.0000 0.0000 0.0000  4 Br 2.76
Os 0.0000 0.0000 0.5000  4 Br 2.86, 2 Os 3.15
Br 0.5000 0.5000 0.2436  2 Zr 2.76, 2 Os 2.86
Br 0.5000 0.5000 0.7564  2 Zr 2.76, 2 Os 2.86

- Magnetic moment: 1.81 μB/f.u.
- Crystal system: orthorhombic
- Calculated volume: 84 Å³/f.u.
- Energy relative to the elements, uncorrected: 0.77 eV per atom
- Energy relative to the lowest polymorph listed for this composition: 1017 meV per atom

=====

[8]
A plane-wave DFT calculation with PBE-GGA was carried out for InCu2Pt6 after structural relaxation.

a = 8.4125 Å, b = 8.4125 Å, c = 3.9218 Å
α = 90.00°, β = 90.00°, γ = 90.00°
With the nearest neighbours (Å) after each atom.
Fractional coordinates of all 18 atoms:
In 0.0000 0.0000 0.0000  8 Pt 2.78-2.79, 4 Cu 2.86
In 0.5000 0.5000 0.5000  8 Pt 2.78-2.79, 4 Cu 2.86
Cu 0.1746 0.1746 0.5000  10 Pt 2.73-2.86, 2 In 2.86
Cu 0.3254 0.6746 0.0000  10 Pt 2.73-2.86, 2 In 2.86
Cu 0.6746 0.3254 0.0000  10 Pt 2.73-2.86, 2 In 2.86
Cu 0.8254 0.8254 0.5000  10 Pt 2.73-2.86, 2 In 2.86
Pt 0.0004 0.3319 0.0000  3 Cu 2.74-2.78, 8 Pt 2.78-2.83, 1 In 2.79
Pt 0.9996 0.6681 0.0000  3 Cu 2.74-2.78, 8 Pt 2.78-2.83, 1 In 2.79
Pt 0.1656 0.8344 0.5000  4 Cu 2.73-2.86, 2 In 2.78, 6 Pt 2.78-2.81
Pt 0.1681 0.5004 0.5000  3 Cu 2.74-2.78, 8 Pt 2.78-2.83, 1 In 2.79
Pt 0.3319 0.0004 0.0000  3 Cu 2.74-2.78, 8 Pt 2.78-2.83, 1 In 2.79
Pt 0.3344 0.3344 0.0000  4 Cu 2.73-2.86, 2 In 2.78, 6 Pt 2.78-2.81
Pt 0.5004 0.1681 0.5000  3 Cu 2.74-2.78, 8 Pt 2.78-2.83, 1 In 2.79
Pt 0.4996 0.8319 0.5000  3 Cu 2.74-2.78, 8 Pt 2.78-2.83, 1 In 2.79
Pt 0.6656 0.6656 0.0000  4 Cu 2.73-2.86, 2 In 2.78, 6 Pt 2.78-2.81
Pt 0.6681 0.9996 0.0000  3 Cu 2.74-2.78, 8 Pt 2.78-2.83, 1 In 2.79
Pt 0.8319 0.4996 0.5000  3 Cu 2.74-2.78, 8 Pt 2.78-2.83, 1 In 2.79
Pt 0.8344 0.1656 0.5000  4 Cu 2.73-2.86, 2 In 2.78, 6 Pt 2.78-2.81

- Magnetic moment: 0.00 μB/f.u.
- Crystal system: tetragonal
- Calculated total energy: -5.46 eV per atom
- Calculated volume: 139 Å³/f.u.

=====

[9]
A plane-wave DFT calculation with PBE-GGA was carried out for ZrCoSiTc after structural relaxation.

a = 4.3359 Å, b = 4.3359 Å, c = 4.3359 Å
α = 60.00°, β = 60.00°, γ = 60.00°
With the nearest neighbours (Å) after each atom.
Fractional coordinates of all 4 atoms:
Zr 0.0000 0.0000 0.0000  4 Tc 2.66, 4 Co 2.66
Co 0.7500 0.7500 0.7500  4 Si 2.66, 4 Zr 2.66
Si 0.5000 0.5000 0.5000  4 Co 2.66, 4 Tc 2.66
Tc 0.2500 0.2500 0.2500  4 Zr 2.66, 4 Si 2.66

- Magnetic moment: 0.00 μB/f.u.
- Crystal system: cubic
- Calculated volume: 58 Å³/f.u.
- Energy relative to the elements, uncorrected: -0.44 eV per atom

=====

[10]
A plane-wave DFT calculation with PBE-GGA was carried out for GaRuS2N after structural relaxation.

a = 4.8074 Å, b = 4.8074 Å, c = 3.5704 Å
α = 90.00°, β = 90.00°, γ = 90.00°
With the nearest neighbours (Å) after each atom.
Fractional coordinates of all 5 atoms:
Ga 0.0000 0.0000 0.0000  2 N 1.79
Ru 0.5000 0.5000 0.5000  8 S 2.99
S 0.0000 0.5000 0.0000  2 Ga 2.40
S 0.5000 0.0000 0.0000  2 Ga 2.40
N 0.0000 0.0000 0.5000  2 Ga 1.79

- Magnetic moment: 3.49 μB/f.u.
- Crystal system: tetragonal
- Calculated volume: 83 Å³/f.u.
- Energy relative to the elements, uncorrected: 1.16 eV per atom
- Energy relative to the lowest polymorph listed for this composition: 789 meV per atom

=====

[11]
A plane-wave DFT calculation with PBE-GGA was carried out for Cs2RbReCl6 after structural relaxation.

a = 7.8270 Å, b = 7.8270 Å, c = 7.8270 Å
α = 60.00°, β = 60.00°, γ = 60.00°
With the nearest neighbours (Å) after each atom.
Fractional coordinates of all 10 atoms:
Cs 0.2500 0.2500 0.2500  12 Cl 3.93
Cs 0.7500 0.7500 0.7500  12 Cl 3.93
Rb 0.0000 0.0000 0.0000  6 Cl 3.12
Re 0.5000 0.5000 0.5000  6 Cl 2.41
Cl 0.2822 0.2822 0.7178  1 Re 2.41
Cl 0.2822 0.7178 0.2822  1 Re 2.41
Cl 0.2822 0.7178 0.7178  1 Re 2.41
Cl 0.7178 0.2822 0.2822  1 Re 2.41
Cl 0.7178 0.2822 0.7178  1 Re 2.41
Cl 0.7178 0.7178 0.2822  1 Re 2.41

- Magnetic moment: 2.00 μB/f.u.
- Crystal system: cubic
- Calculated volume: 339 Å³/f.u.
- Energy relative to the elements, uncorrected: -1.34 eV per atom

=====

[12]
A plane-wave DFT calculation with PBE-GGA was carried out for PaCdRh2O8 after structural relaxation.

a = 6.0986 Å, b = 6.0986 Å, c = 6.0986 Å
α = 107.78°, β = 107.78°, γ = 112.91°
With the nearest neighbours (Å) after each atom.
Fractional coordinates of all 12 atoms:
Pa 0.0000 0.0000 0.0000  8 O 2.29
Cd 0.2500 0.7500 0.5000  8 O 2.37-2.45
Rh 0.5000 0.5000 0.0000  4 O 1.90
Rh 0.7500 0.2500 0.5000  4 O 1.88
O 0.2862 0.1147 0.8285  1 Rh 1.90
O 0.2862 0.4577 0.1715  1 Rh 1.90
O 0.3686 0.0548 0.3137  1 Rh 1.88
O 0.5423 0.7138 0.8285  1 Rh 1.90
O 0.7411 0.0548 0.6863  1 Rh 1.88
O 0.8853 0.7138 0.1715  1 Rh 1.90
O 0.9452 0.2589 0.3137  1 Rh 1.88
O 0.9452 0.6314 0.6863  1 Rh 1.88

- Magnetic moment: 0.01 μB/f.u.
- Crystal system: tetragonal
- Calculated volume: 174 Å³/f.u.
- Energy relative to the elements, uncorrected: -1.27 eV per atom

=====

| no. | DOS at the Fermi energy (states/eV/cell) |
| --- | --- |
| 1 | 0.072 |
| 2 | 32.020 |
| 3 | 2.718 |
| 4 | 0.499 |
| 5 | 1.956 |
| 6 | 2.235 |
| 7 | 4.442 |
| 8 | 11.041 |
| 9 | 0.475 |
| 10 | 5.118 |
| 11 | 14.957 |
| 12 | 8.054 |